Record 1
YTm4Hg5 after structural relaxation. Source: OQMD via LeMat-Bulk, functional PBE.

```
YTm4Hg5
1.0
3.6696 0.0000 0.0000
0.0000 3.6696 0.0000
0.0000 0.0000 18.4058
Y Tm Hg
1 4 5
Cartesian
0.0000 0.0000 0.0000
0.0000 0.0000 3.7198
0.0000 0.0000 7.3770
0.0000 0.0000 11.0288
0.0000 0.0000 14.6860
1.8348 1.8348 1.9098
1.8348 1.8348 5.5450
1.8348 1.8348 9.2029
1.8348 1.8348 12.8608
1.8348 1.8348 16.4959
```

SG: No. 123
Energy relative to the elements (meV/atom): -485
Crystal system: tetragonal


Record 2
YLuGe2 after structural relaxation. Source: OQMD via LeMat-Bulk, functional PBE.

```
YLuGe2
1.0
0.0000 3.5760 3.5760
3.5760 0.0000 3.5760
3.5760 3.5760 0.0000
Y Lu Ge
1 1 2
Cartesian
0.0000 0.0000 0.0000
1.7880 1.7880 1.7880
3.5760 3.5760 3.5760
5.3640 5.3640 5.3640
```

SG: No. 216
VASP energy (eV/atom): -5.056
Crystal system: cubic


Record 3
PrZnPt after structural relaxation. Source: OQMD via LeMat-Bulk, functional PBE.

```
PrZnPt
1.0
0.0000 3.4205 3.4205
3.4205 0.0000 3.4205
3.4205 3.4205 0.0000
Pr Zn Pt
1 1 1
Cartesian
0.0000 0.0000 0.0000
5.1307 5.1307 5.1307
1.7102 1.7102 1.7102
```

SG: No. 216
Energy relative to the elements (meV/atom): -200
Crystal system: cubic